# Tl2ReAg

A relaxed Tl2ReAg crystal (PBE, the Alexandria database).

Values from the calculation:
For the total DFT energy (no corrections), the calculation gives -3.857 eV per atom. The calculation puts the formation energy at 1.151 eV per atom.

Unit cell a=4.9828 b=4.9828 c=4.9828 alpha=60.00 beta=60.00 gamma=60.00
Last column: magnetic moment on the atom in μB.
Positions (direct):
Tl 0.0000 0.0000 0.0000  -0.01
Tl 0.2500 0.2500 0.2500  0.03
Re 0.7500 0.7500 0.7500  2.31
Ag 0.5000 0.5000 0.5000  0.05